Material: MgTaNiOs
Method: DFT, PBE
State: relaxed

As for the formation energy: -0.196 eV per atom. Its total energy is -7.8106 eV per atom. The density of states at the Fermi level comes out at 0.9350 states/eV per atom.

The structure belongs to space group F-43m (No. 216); the cell edges are 6.220, 6.220 and 6.220 Å and the angles 90.00°, 90.00° and 90.00°. The distinct sites, in fractional coordinates, are Mg at (0.000, 0.000, 0.000), Ta at (0.000, 0.000, 0.500), Ni at (0.250, 0.250, 0.750) and Os at (0.250, 0.250, 0.250).

Material: LiTiTe2O8
Method: DFT, PBE
State: relaxed

Its total energy is -5.9328 eV per atom. The density of states at the Fermi level comes out at 0.2382 states/eV per atom.

The structure belongs to space group I-4m2 (No. 119); the cell edges are 6.819, 6.819 and 6.651 Å and the angles 90.00°, 90.00° and 90.00°. The distinct sites, in fractional coordinates, are Li at (0.000, 0.000, 0.000), Ti at (0.000, 0.500, 0.750), Te at (0.000, 0.000, 0.500), Te at (0.000, 0.500, 0.250), O at (0.000, 0.220, 0.682) and O at (0.000, 0.303, 0.059).

Material: Hg2PdAu
Method: DFT, PBE
State: relaxed

As for the formation energy: 0.179 eV per atom. Its total energy is -2.0897 eV per atom. The density of states at the Fermi level comes out at 0.7895 states/eV per atom.

The structure belongs to space group R-3m (No. 166, hexagonal axes); the cell edges are 2.9799, 2.9799 and 31.6860 Å and the angles 90.00°, 90.00° and 120.00°. The distinct sites, in fractional coordinates, are Hg at (0.0000, 0.0000, 0.0854), Pd at (0.0000, 0.0000, 0.0000) and Au at (0.0000, 0.0000, 0.5000).

Material: LiSm2Dy
Method: DFT, PBE
State: relaxed

As for the formation energy: 0.123 eV per atom. Its total energy is -3.8657 eV per atom. The density of states at the Fermi level comes out at 0.9821 states/eV per atom.

The structure belongs to space group P3m1 (No. 156); the cell edges are 3.5212, 3.5212 and 11.8122 Å and the angles 90.00°, 90.00° and 120.00°. The distinct sites, in fractional coordinates, are Li at (0.0000, 0.0000, 0.0000), Sm at (0.0000, 0.0000, 0.7261), Sm at (0.6667, 0.3333, 0.2390) and Dy at (0.3333, 0.6667, 0.4848).

Material: Pm2Nd3In6
Method: DFT, PBE
State: relaxed

As for the formation energy: 0.044 eV per atom. Its total energy is -3.6140 eV per atom. The density of states at the Fermi level comes out at 1.3239 states/eV per atom.

The structure belongs to space group I4/mmm (No. 139); the cell edges are 5.961, 5.961 and 22.789 Å and the angles 90.00°, 90.00° and 90.00°. The distinct sites, in fractional coordinates, are Pm at (0.000, 0.000, 0.077), Nd at (0.000, 0.000, 0.356), Nd at (0.000, 0.000, 0.500), In at (0.000, 0.000, 0.216) and In at (0.000, 0.500, 0.067).

Material: KBa2Rh
Method: DFT, PBE
State: relaxed

As for the formation energy: -0.110 eV per atom. Its total energy is -3.1836 eV per atom. The density of states at the Fermi level comes out at 0.5566 states/eV per atom.

The structure belongs to space group R3m (No. 160, hexagonal axes); the cell edges are 4.5693, 4.5693 and 33.5108 Å and the angles 90.00°, 90.00° and 120.00°. The distinct sites, in fractional coordinates, are K at (0.0000, 0.0000, 0.0000), Ba at (0.0000, 0.0000, 0.2163), Ba at (0.0000, 0.0000, 0.4522) and Rh at (0.0000, 0.0000, 0.8344).

Material: PuTlSe3
Method: DFT, PBE
State: relaxed

Its total energy is -6.1938 eV per atom. The density of states at the Fermi level comes out at 0.4566 states/eV per atom.

The structure belongs to space group Pm-3m (No. 221); the cell edges are 5.433, 5.433 and 5.433 Å and the angles 90.00°, 90.00° and 90.00°. The distinct sites, in fractional coordinates, are Pu at (0.000, 0.000, 0.000), Tl at (0.500, 0.500, 0.500) and Se at (0.000, 0.000, 0.500).

Material: HRu2PtW
Method: DFT, PBE
State: relaxed

Its total energy is -6.1573 eV per atom. The density of states at the Fermi level comes out at 1.1957 states/eV per atom.

The structure belongs to space group P4/mmm (No. 123); the cell edges are 4.699, 4.699 and 4.874 Å and the angles 90.00°, 90.00° and 90.00°. The distinct sites, in fractional coordinates, are H at (0.000, 0.000, 0.000), Ru at (0.000, 0.500, 0.500), Pt at (0.500, 0.500, 0.000) and W at (0.500, 0.500, 0.500).

Material: ZrPW2
Method: DFT, PBE
State: relaxed

As for the formation energy: 0.011 eV per atom. Its total energy is -9.9549 eV per atom. The density of states at the Fermi level comes out at 0.6776 states/eV per atom.

The structure belongs to space group R3m (No. 160, hexagonal axes); the cell edges are 3.2769, 3.2769 and 22.6292 Å and the angles 90.00°, 90.00° and 120.00°. The distinct sites, in fractional coordinates, are Zr at (0.0000, 0.0000, 0.0000), P at (0.0000, 0.0000, 0.7468), W at (0.0000, 0.0000, 0.2355) and W at (0.0000, 0.0000, 0.4814).

Material: Sm2GaTe
Method: DFT, PBE
State: relaxed

Its total energy is -4.8708 eV per atom. The density of states at the Fermi level comes out at 0.4807 states/eV per atom.

The structure belongs to space group R-3m (No. 166, hexagonal axes); the cell edges are 4.1960, 4.1960 and 23.0509 Å and the angles 90.00°, 90.00° and 120.00°. The distinct sites, in fractional coordinates, are Sm at (0.0000, 0.0000, 0.2460), Ga at (0.0000, 0.0000, 0.5000) and Te at (0.0000, 0.0000, 0.0000).

Material: KBa2PtO6
Method: DFT, PBE
State: relaxed

Its total energy is -5.5209 eV per atom. The density of states at the Fermi level comes out at 0.5776 states/eV per atom.

The structure belongs to space group Pmmn (No. 59, origin choice 2); the cell edges are 5.912, 8.815 and 6.883 Å and the angles 90.00°, 90.00° and 90.00°. The distinct sites, in fractional coordinates, are K at (0.250, 0.250, 0.193), Ba at (0.250, 0.026, 0.688), Pt at (0.250, 0.750, 0.298), O at (0.007, 0.750, 0.110), O at (0.020, 0.750, 0.506) and O at (0.250, 0.528, 0.303).

Material: Sr2AlCd4In3
Method: DFT, PBE
State: relaxed

As for the formation energy: -0.240 eV per atom. Its total energy is -2.1385 eV per atom. The density of states at the Fermi level comes out at 0.5978 states/eV per atom.

The structure belongs to space group P-4m2 (No. 115); the cell edges are 4.667, 4.667 and 12.526 Å and the angles 90.00°, 90.00° and 90.00°. The distinct sites, in fractional coordinates, are Sr at (0.000, 0.500, 0.247), Al at (0.500, 0.500, 0.000), Cd at (0.000, 0.000, 0.500), Cd at (0.000, 0.500, 0.865), Cd at (0.500, 0.500, 0.500), In at (0.000, 0.000, 0.000) and In at (0.000, 0.500, 0.641).